# 1
This record from Alexandria describes a relaxed structure of Ga3PtBr. The functional is PBE.

Properties
Formation energy from raw total energies (eV/atom): -0.559
M_tot (μB per formula unit): 0.0
Relative energy among the computed polymorphs (meV/atom): 0.0
Electronic total energy (eV/f.u.): -19.590
N(E_F) (states/eV/cell): 0.08

Cell and atoms, written as POSCAR:
```
Ga3PtBr
1.0
4.9020 0.0000 0.0000
0.0000 4.9020 0.0000
0.0000 0.0000 4.9020
Ga Pt Br
3 1 1
direct
0.0000 0.0000 0.5000
0.0000 0.5000 0.0000
0.5000 0.0000 0.0000
0.0000 0.0000 0.0000
0.5000 0.5000 0.5000
```

***

# 2
This record from Alexandria describes a relaxed structure of Dy2Tm2Ru3. The functional is PBE.

Properties
M_tot (μB per formula unit): 0.0
Relative energy among the computed polymorphs (meV/atom): 0.0
Calculated formation energy (eV per formula unit): -2.16
Electronic total energy (eV/f.u.): -48.131
N(E_F) (states/eV/cell): 4.64

Cell and atoms, written as POSCAR:
```
Dy2Tm2Ru3
1.0
4.8610 0.0000 0.0000
-2.4279 4.2166 0.0000
-0.0109 -2.7649 7.4436
Dy Tm Ru
2 2 3
direct
0.1227 0.2457 0.3677
0.8773 0.7543 0.6323
0.3740 0.7479 0.1208
0.6260 0.2521 0.8792
0.2489 0.4977 0.7473
0.5000 0.0000 0.5000
0.7511 0.5023 0.2527
```

***

# 3
This record from Alexandria describes a relaxed structure of ScAg2As. The functional is PBE.

Properties
M_tot (μB per formula unit): 0.0
Calculated formation energy (eV per formula unit): -0.38
Electronic total energy (eV/f.u.): -17.060
N(E_F) (states/eV/cell): 3.07

Cell and atoms, written as POSCAR:
```
ScAg2As
1.0
2.7588 -4.4441 0.0000
2.7588 4.4441 0.0000
0.0000 0.0000 3.2057
Sc Ag As
1 2 1
direct
0.0000 0.0000 0.0000
0.0000 0.5000 0.5000
0.5000 0.0000 0.5000
0.5000 0.5000 0.0000
```

***

# 4
This record from Alexandria describes a relaxed structure of Sr4Te. The functional is PBE.

Properties
Formation energy from raw total energies (eV/atom): -0.355
M_tot (μB per formula unit): 0.0
Relative energy among the computed polymorphs (meV/atom): 141.4
Electronic total energy (eV/f.u.): -11.644
N(E_F) (states/eV/cell): 4.23

Cell and atoms, written as POSCAR:
```
Sr4Te
1.0
-3.9472 3.9472 3.9472
3.9472 -3.9472 3.9472
3.9472 3.9472 -3.9472
Sr Te
4 1
direct
0.0000 0.0000 0.5000
0.0000 0.5000 0.0000
0.5000 0.0000 0.0000
0.5000 0.5000 0.5000
0.0000 0.0000 0.0000
```

***

# 5
This record from Alexandria describes a relaxed structure of Nd4In3Ru. The functional is PBE.

Properties
M_tot (μB per formula unit): 0.0
Calculated formation energy (eV per formula unit): -3.14
Electronic total energy (eV/f.u.): -39.706
N(E_F) (states/eV/cell): 6.64

Cell and atoms, written as POSCAR:
```
Nd4In3Ru
1.0
3.6159 0.0000 0.0000
0.0000 3.6159 0.0000
0.0000 0.0000 16.7069
Nd In Ru
4 3 1
direct
0.0000 0.0000 0.1015
0.0000 0.0000 0.3681
0.0000 0.0000 0.6319
0.0000 0.0000 0.8985
0.5000 0.5000 0.2391
0.5000 0.5000 0.5000
0.5000 0.5000 0.7609
0.5000 0.5000 0.0000
```

***

# 6
This record from Alexandria describes a relaxed structure of LaPmHoCu. The functional is PBE.

Properties
M_tot (μB per formula unit): 0.0
Calculated formation energy (eV per formula unit): -0.33
Electronic total energy (eV/f.u.): -18.677
N(E_F) (states/eV/cell): 4.05

Cell and atoms, written as POSCAR:
```
LaPmHoCu
1.0
3.5747 0.0000 0.0000
0.0000 3.5747 0.0000
0.0000 0.0000 8.8345
La Pm Ho Cu
1 1 1 1
direct
0.0000 0.0000 0.0000
0.5000 0.5000 0.3138
0.5000 0.5000 0.6943
0.0000 0.0000 0.5189
```

***

# 7
This record from Alexandria describes a relaxed structure of CsInTe2. The functional is PBE.

Properties
Formation energy from raw total energies (eV/atom): -0.634
M_tot (μB per formula unit): 0.0
Electronic total energy (eV/f.u.): -12.412
N(E_F) (states/eV/cell): 0.00

Cell and atoms, written as POSCAR:
```
CsInTe2
1.0
8.5524 0.0000 0.0000
0.0000 5.9716 0.0000
0.0000 0.0000 13.0133
Cs In Te
4 4 8
direct
0.1650 0.2500 0.1330
0.3350 0.7500 0.6330
0.6650 0.2500 0.3670
0.8350 0.7500 0.8670
0.0559 0.7500 0.3742
0.4441 0.2500 0.8742
0.5559 0.7500 0.1258
0.9441 0.2500 0.6258
0.1104 0.2500 0.8141
0.1196 0.2500 0.4395
0.3804 0.7500 0.9395
0.3896 0.7500 0.3141
0.6104 0.2500 0.6859
0.6196 0.2500 0.0605
0.8804 0.7500 0.5605
0.8896 0.7500 0.1859
```

***

# 8
This record from Alexandria describes a relaxed structure of Y2PW. The functional is PBE.

Properties
M_tot (μB per formula unit): 0.3
Calculated formation energy (eV per formula unit): 0.52
Electronic total energy (eV/f.u.): -30.774
N(E_F) (states/eV/cell): 9.25

Cell and atoms, written as POSCAR:
```
Y2PW
1.0
-4.8547 4.8547 2.2884
4.8547 -4.8547 2.2884
4.8547 4.8547 -2.2884
Y P W
4 2 2
direct
0.3750 0.0173 0.1423
0.7673 0.6250 0.6423
0.8750 0.2327 0.8577
0.9827 0.1250 0.3577
0.0000 0.0000 0.0000
0.7500 0.2500 0.5000
0.2500 0.7500 0.5000
0.5000 0.5000 0.0000
```

***

# 9
This record from Alexandria describes a relaxed structure of NaClF2. The functional is PBE.

Properties
Formation energy from raw total energies (eV/atom): -0.790
M_tot (μB per formula unit): 2.0
Relative energy among the computed polymorphs (meV/atom): 831.7
Electronic total energy (eV/f.u.): -10.067
N(E_F) (states/eV/cell): 0.00

Cell and atoms, written as POSCAR:
```
NaClF2
1.0
1.9672 1.1358 6.1635
-1.9672 1.1358 6.1635
0.0000 -2.2715 6.1635
Na Cl F
1 1 2
direct
0.0000 0.0000 0.0000
0.5000 0.5000 0.5000
0.1108 0.1108 0.1108
0.8892 0.8892 0.8892
```

***

# 10
This record from Alexandria describes a relaxed structure of Nd3TiIn3Te8. The functional is PBE.

Properties
Formation energy from raw total energies (eV/atom): -0.895
M_tot (μB per formula unit): 0.2
Electronic total energy (eV/f.u.): -68.974
N(E_F) (states/eV/cell): 2.37

Cell and atoms, written as POSCAR:
```
Nd3TiIn3Te8
1.0
4.3995 2.5400 8.0275
-4.3995 2.5400 8.0275
0.0000 -5.0801 8.0275
Nd Ti In Te
3 1 3 8
direct
0.0000 0.5000 0.5000
0.5000 0.0000 0.5000
0.5000 0.5000 0.0000
0.0000 0.0000 0.0000
0.0000 0.0000 0.5000
0.0000 0.5000 0.0000
0.5000 0.0000 0.0000
0.2222 0.2222 0.7705
0.2222 0.7705 0.2222
0.2295 0.7778 0.7778
0.2553 0.2553 0.2553
0.7447 0.7447 0.7447
0.7705 0.2222 0.2222
0.7778 0.2295 0.7778
0.7778 0.7778 0.2295
```